Model w:
The following is a DFT calculation (PBE) of a relaxed MgZr2As crystal.

Values from the calculation:
As for the crystal system: tetragonal. As for the volume: 20.13 Å³ per atom. The density of states at the Fermi level comes out at 0.637 states/eV per atom.

a = 3.547 Å, b = 3.547 Å, c = 6.400 Å
α = 90.00°, β = 90.00°, γ = 90.00°
Fractional coordinates of all 4 atoms:
1 As 0.500 0.500 0.250
2 Mg 0.500 0.500 0.750
3 Zr 0.000 0.000 0.020
4 Zr 0.000 0.000 0.480

Model x:
The following is a DFT calculation (PBE) of a relaxed MgZr2As crystal.

Values from the calculation:
As for the crystal system: tetragonal. As for the volume: 20.04 Å³ per atom. The density of states at the Fermi level comes out at 0.749 states/eV per atom.

a = 5.296 Å, b = 5.296 Å, c = 5.296 Å
α = 132.10°, β = 132.10°, γ = 70.07°
Fractional coordinates of all 4 atoms:
1 As 0.250 0.750 0.500
2 Mg 0.750 0.250 0.500
3 Zr 0.000 0.000 0.000
4 Zr 0.500 0.500 0.000

Model y:
The following is a DFT calculation (PBE) of a relaxed MgZr2As crystal.

Values from the calculation:
As for the crystal system: orthorhombic. As for the volume: 21.67 Å³ per atom. The density of states at the Fermi level comes out at 1.162 states/eV per atom.

a = 3.216 Å, b = 3.216 Å, c = 8.733 Å
α = 90.00°, β = 90.00°, γ = 106.30°
Fractional coordinates of all 4 atoms:
1 As 0.000 0.000 0.494
2 Mg 0.500 0.500 0.718
3 Zr 0.000 0.000 0.008
4 Zr 0.500 0.500 0.280

Model z:
The following is a DFT calculation (PBE) of a relaxed MgZr2As crystal.

Values from the calculation:
As for the crystal system: cubic. As for the volume: 20.09 Å³ per atom. The density of states at the Fermi level comes out at 0.851 states/eV per atom.

a = 4.844 Å, b = 4.844 Å, c = 4.844 Å
α = 60.00°, β = 60.00°, γ = 60.00°
Fractional coordinates of all 4 atoms:
1 As 0.500 0.500 0.500
2 Mg 0.000 0.000 0.000
3 Zr 0.250 0.250 0.250
4 Zr 0.750 0.750 0.750

Most stable to least stable, the ends of the list are model w and model z.

Model w:
The following is a DFT calculation (PBE) of a relaxed MgZrAs3 crystal.

Values from the calculation:
As for the crystal system: cubic. As for the volume: 27.79 Å³ per atom. The density of states at the Fermi level comes out at 0.773 states/eV per atom.

a = 5.180 Å, b = 5.180 Å, c = 5.180 Å
α = 90.00°, β = 90.00°, γ = 90.00°
Fractional coordinates of all 5 atoms:
1 As 0.000 0.500 0.000
2 As 0.000 0.000 0.500
3 As 0.500 0.000 0.000
4 Mg 0.500 0.500 0.500
5 Zr 0.000 0.000 0.000

Model x:
The following is a DFT calculation (PBE) of a relaxed MgZrAs3 crystal.

Values from the calculation:
As for the crystal system: cubic. As for the volume: 22.92 Å³ per atom. The density of states at the Fermi level comes out at 0.980 states/eV per atom.

a = 4.857 Å, b = 4.857 Å, c = 4.857 Å
α = 90.00°, β = 90.00°, γ = 90.00°
Fractional coordinates of all 5 atoms:
1 As 0.000 0.500 0.000
2 As 0.000 0.000 0.500
3 As 0.500 0.000 0.000
4 Mg 0.000 0.000 0.000
5 Zr 0.500 0.500 0.500

Most stable to least stable, the ends of the list are model w and model x.

Model w:
The following is a DFT calculation (PBE) of a relaxed MnAs3 crystal.

Values from the calculation:
As for the crystal system: monoclinic. As for the volume: 16.83 Å³ per atom. The density of states at the Fermi level comes out at 0.625 states/eV per atom.

a = 3.193 Å, b = 3.064 Å, c = 7.548 Å
α = 65.74°, β = 90.00°, γ = 90.00°
Each line ends with the local moment (μB).
Fractional coordinates of all 4 atoms:
1 As 0.000 0.955 0.048  -0.10
2 As 0.500 0.750 0.750  -0.01
3 As 0.000 0.545 0.452  -0.10
4 Mn 0.500 0.250 0.250  2.44

Model x:
The following is a DFT calculation (PBE) of a relaxed MnAs3 crystal.

Values from the calculation:
As for the crystal system: orthorhombic. As for the volume: 17.97 Å³ per atom. The density of states at the Fermi level comes out at 0.473 states/eV per atom.

a = 4.600 Å, b = 4.600 Å, c = 3.504 Å
α = 90.00°, β = 90.00°, γ = 104.24°
Each line ends with the local moment (μB).
Fractional coordinates of all 4 atoms:
1 As 0.000 0.500 0.500  -0.09
2 As 0.500 0.000 0.500  -0.09
3 As 0.500 0.500 0.000  -0.02
4 Mn 0.000 0.000 0.000  3.65

Most stable to least stable, the ends of the list are model w and model x.

Model w:
The following is a DFT calculation (PBE) of a relaxed MnAs3 crystal.

Values from the calculation:
As for the crystal system: trigonal. As for the volume: 19.09 Å³ per atom. The density of states at the Fermi level comes out at 0.858 states/eV per atom.

a = 4.621 Å, b = 4.621 Å, c = 4.621 Å
α = 109.32°, β = 109.32°, γ = 109.32°
Each line ends with the local moment (μB).
Fractional coordinates of all 4 atoms:
1 As 0.000 0.000 0.000  -0.08
2 As 0.000 0.500 0.500  -0.08
3 As 0.500 0.000 0.500  -0.08
4 Mn 0.500 0.500 0.000  3.70

Model x:
The following is a DFT calculation (PBE) of a relaxed MnAs3 crystal.

Values from the calculation:
As for the crystal system: hexagonal. As for the volume: 19.24 Å³ per atom. The density of states at the Fermi level comes out at 0.451 states/eV per atom.

a = 7.461 Å, b = 7.461 Å, c = 6.385 Å
α = 90.00°, β = 90.00°, γ = 120.00°
Each line ends with the local moment (μB).
Fractional coordinates of all 16 atoms:
1 As 0.500 0.000 0.000  0.02
2 As 0.500 0.000 0.500  0.02
3 As 0.000 0.500 0.000  0.02
4 As 0.500 0.500 0.000  0.02
5 As 0.500 0.500 0.500  0.02
6 As 0.000 0.500 0.500  0.02
7 As 0.841 0.683 0.250  -0.06
8 As 0.159 0.317 0.750  -0.06
9 As 0.317 0.159 0.250  -0.06
10 As 0.841 0.159 0.250  -0.06
11 As 0.159 0.841 0.750  -0.06
12 As 0.683 0.841 0.750  -0.06
13 Mn 0.000 0.000 0.000  3.37
14 Mn 0.000 0.000 0.500  3.37
15 Mn 0.333 0.667 0.250  3.85
16 Mn 0.667 0.333 0.750  3.85

Most stable to least stable, the ends of the list are model w and model x.

Model w:
The following is a DFT calculation (PBE) of a relaxed MnAs3 crystal.

Values from the calculation:
As for the crystal system: monoclinic. As for the volume: 18.21 Å³ per atom. The density of states at the Fermi level comes out at 0.530 states/eV per atom.

a = 3.814 Å, b = 3.814 Å, c = 7.243 Å
α = 85.75°, β = 85.75°, γ = 43.92°
Each line ends with the local moment (μB).
Fractional coordinates of all 4 atoms:
1 As 0.500 0.500 0.500  0.07
2 As 0.279 0.279 0.216  -0.07
3 As 0.721 0.721 0.784  -0.07
4 Mn 0.000 0.000 0.000  3.13

Model x:
The following is a DFT calculation (PBE) of a relaxed MnAs3 crystal.

Values from the calculation:
As for the crystal system: hexagonal. As for the volume: 19.04 Å³ per atom. The density of states at the Fermi level comes out at 0.690 states/eV per atom.

a = 7.792 Å, b = 7.792 Å, c = 2.897 Å
α = 90.00°, β = 90.00°, γ = 120.00°
Fractional coordinates of all 8 atoms:
1 Mn 0.333 0.667 0.250
2 Mn 0.667 0.333 0.750
3 As 0.807 0.614 0.250
4 As 0.386 0.193 0.250
5 As 0.807 0.193 0.250
6 As 0.193 0.386 0.750
7 As 0.614 0.807 0.750
8 As 0.193 0.807 0.750

Model y:
The following is a DFT calculation (PBE) of a relaxed MnAs3 crystal.

Values from the calculation:
As for the crystal system: orthorhombic. As for the volume: 19.52 Å³ per atom. The density of states at the Fermi level comes out at 0.695 states/eV per atom.

a = 7.026 Å, b = 7.026 Å, c = 3.487 Å
α = 90.00°, β = 90.00°, γ = 114.91°
Fractional coordinates of all 8 atoms:
1 Mn 0.452 0.548 0.250
2 Mn 0.548 0.452 0.750
3 As 0.912 0.088 0.750
4 As 0.088 0.912 0.250
5 As 0.917 0.592 0.750
6 As 0.083 0.408 0.250
7 As 0.408 0.083 0.750
8 As 0.592 0.917 0.250

Most stable to least stable, the ends of the list are model x and model y.